First-principles (PBEsol) data for Y2SiSe after structural relaxation, as listed in Alexandria via LeMat-Bulk.

Unit cell a=4.0517 b=4.0517 c=5.7131 alpha=90.00 beta=90.00 gamma=90.00
Sites, in units of the cell vectors:
Si: 0.5000 0.5000 0.5000
Y: 0.0000 0.0000 0.5000
Y: 0.5000 0.5000 0.0000
Se: 0.0000 0.0000 0.0000

The value obtained for the size of the total moment is 0.00 μB per formula unit. Its energy relative to the elements, uncorrected is -1.379 eV/atom. For the energy above the most stable polymorph in this dataset, the calculation gives 0.000 eV per atom. As for the symmetry: P4/mmm. The total DFT energy (no corrections) is -28.76 eV/cell. Its density of states at the Fermi level is 0.99 states/eV/f.u.